No. 1
VASP calculation (PBE) on an optimized crystal structure of Pm3CdAg3.

* raw total energy: -3.645 eV/atom
* E_form: -256 meV per atom
* ρ: 8.08 g/cm3

Cell: 4.847 3.570 10.777 Å, 99.53 103.00 90.00°
Fractional coordinates of all 7 atoms:
Cd (0.433, 0.433, 0.866)
Ag (0.857, 0.357, 0.714)
Pm (0.005, 0.005, 0.011)
Ag (0.567, 0.567, 0.135)
Pm (0.303, 0.803, 0.606)
Ag (0.143, 0.643, 0.285)
Pm (0.692, 0.192, 0.384)

No. 2
VASP calculation (PBE) on an optimized crystal structure of PmCd3Ag7.

* raw total energy: -2.485 eV/atom
* E_form: 11 meV per atom
* ρ: 8.85 g/cm3

Cell: 5.676 8.305 8.305 Å, 61.28 129.33 129.33°
Fractional coordinates of all 11 atoms:
Cd (0.000, 0.820, 0.180)
Ag (0.767, 0.416, 0.076)
Ag (0.767, 0.076, 0.416)
Cd (0.500, 0.000, 0.000)
Cd (0.000, 0.180, 0.820)
Ag (0.233, 0.584, 0.924)
Pm (0.500, 0.500, 0.500)
Ag (0.267, 0.231, 0.231)
Ag (0.233, 0.924, 0.584)
Ag (0.733, 0.769, 0.769)
Ag (0.000, 0.500, 0.500)

No. 3
VASP calculation (PBE) on an optimized crystal structure of PmCd6Ag12.

* raw total energy: -2.285 eV/atom
* E_form: 55 meV per atom
* ρ: 8.54 g/cm3

Cell: 7.733 7.733 7.733 Å, 104.20 104.20 104.20°
Fractional coordinates of all 19 atoms:
Ag (0.500, 0.111, 0.889)
Ag (0.354, 0.354, 0.110)
Ag (0.889, 0.111, 0.500)
Cd (0.705, 0.303, 0.705)
Ag (0.111, 0.889, 0.500)
Cd (0.697, 0.295, 0.295)
Ag (0.500, 0.889, 0.111)
Ag (0.354, 0.110, 0.354)
Ag (0.890, 0.646, 0.646)
Cd (0.705, 0.705, 0.303)
Ag (0.110, 0.354, 0.354)
Ag (0.646, 0.646, 0.890)
Cd (0.303, 0.705, 0.705)
Ag (0.111, 0.500, 0.889)
Cd (0.295, 0.697, 0.295)
Ag (0.646, 0.890, 0.646)
Ag (0.889, 0.500, 0.111)
Cd (0.295, 0.295, 0.697)
Pm (0.000, 0.000, 0.000)

No. 4
VASP calculation (PBE) on an optimized crystal structure of Pm2Cd3Ag4.

* raw total energy: -2.819 eV/atom
* E_form: -191 meV per atom
* ρ: 8.46 g/cm3

Cell: 5.973 8.185 9.010 Å, 90.00 109.36 90.00°
Fractional coordinates of all 18 atoms:
Cd (0.485, 0.250, 0.470)
Pm (0.898, 0.401, 0.797)
Cd (0.000, 0.000, 0.000)
Pm (0.602, 0.901, 0.203)
Ag (0.831, 0.021, 0.663)
Ag (0.317, 0.250, 0.134)
Ag (0.669, 0.521, 0.337)
Cd (0.015, 0.750, 0.530)
Pm (0.398, 0.099, 0.797)
Ag (0.817, 0.250, 0.134)
Ag (0.331, 0.479, 0.663)
Cd (0.500, 0.500, 0.000)
Ag (0.183, 0.750, 0.866)
Cd (0.985, 0.250, 0.470)
Ag (0.683, 0.750, 0.866)
Cd (0.515, 0.750, 0.530)
Pm (0.102, 0.599, 0.203)
Ag (0.169, 0.979, 0.337)

No. 5
VASP calculation (PBE) on an optimized crystal structure of Pm2Cd7Ag.

* raw total energy: -1.722 eV/atom
* E_form: 154 meV per atom
* ρ: 6.98 g/cm3

Cell: 7.358 7.358 7.358 Å, 60.00 60.00 60.00°
Fractional coordinates of all 10 atoms:
Cd (0.753, 0.247, 0.753)
Ag (0.000, 0.000, 0.000)
Pm (0.250, 0.250, 0.250)
Cd (0.247, 0.247, 0.753)
Pm (0.750, 0.750, 0.750)
Cd (0.247, 0.753, 0.753)
Cd (0.247, 0.753, 0.247)
Cd (0.500, 0.500, 0.500)
Cd (0.753, 0.247, 0.247)
Cd (0.753, 0.753, 0.247)

No. 6
VASP calculation (PBE) on an optimized crystal structure of Pm4CdAg2.

* raw total energy: -3.685 eV/atom
* E_form: -25 meV per atom
* ρ: 7.02 g/cm3

Cell: 5.156 5.156 9.797 Å, 74.74 74.74 60.00°
Fractional coordinates of all 7 atoms:
Pm (0.208, 0.208, 0.376)
Pm (0.792, 0.792, 0.624)
Ag (0.900, 0.900, 0.299)
Pm (0.622, 0.622, 0.135)
Pm (0.378, 0.378, 0.865)
Cd (0.000, 0.000, 0.000)
Ag (0.100, 0.100, 0.701)

No. 7
VASP calculation (PBE) on an optimized crystal structure of PmCd3Ag8.

* raw total energy: -2.594 eV/atom
* E_form: -68 meV per atom
* ρ: 9.04 g/cm3

Cell: 5.582 5.582 9.710 Å, 73.30 73.30 60.00°
Fractional coordinates of all 12 atoms:
Ag (0.439, 0.940, 0.183)
Ag (0.188, 0.188, 0.437)
Ag (0.436, 0.937, 0.689)
Ag (0.937, 0.436, 0.689)
Ag (0.688, 0.688, 0.936)
Ag (0.940, 0.439, 0.183)
Pm (0.875, 0.875, 0.376)
Cd (0.375, 0.375, 0.874)
Ag (0.937, 0.937, 0.689)
Cd (0.002, 0.002, 0.993)
Cd (0.494, 0.494, 0.517)
Ag (0.439, 0.439, 0.183)

No. 8
VASP calculation (PBE) on an optimized crystal structure of Pm2Cd5Ag3.

* raw total energy: -2.447 eV/atom
* E_form: -184 meV per atom
* ρ: 8.16 g/cm3

Cell: 6.021 9.427 9.427 Å, 88.83 71.37 71.37°
Fractional coordinates of all 20 atoms:
Pm (0.872, 0.389, 0.867)
Pm (0.628, 0.133, 0.611)
Cd (0.997, 0.753, 0.753)
Cd (0.386, 0.261, 0.967)
Cd (0.114, 0.033, 0.739)
Cd (0.886, 0.967, 0.261)
Ag (0.627, 0.520, 0.227)
Cd (0.750, 0.500, 0.500)
Cd (0.250, 0.500, 0.500)
Cd (0.003, 0.247, 0.247)
Cd (0.497, 0.753, 0.753)
Ag (0.127, 0.227, 0.520)
Pm (0.372, 0.867, 0.389)
Ag (0.373, 0.480, 0.773)
Ag (0.250, 0.000, 0.000)
Cd (0.503, 0.247, 0.247)
Ag (0.873, 0.773, 0.480)
Cd (0.614, 0.739, 0.033)
Ag (0.750, 0.000, 0.000)
Pm (0.128, 0.611, 0.133)

- Which of these has the lowest ρ?
  Pm2Cd7Ag

- Which of these has the lowest E_form?
  Pm3CdAg3